1.
# Ba2TeAsCl

An optimized crystal structure of Ba2TeAsCl (PBE-GGA, Alexandria).

Values from the calculation:
For the uncorrected formation energy, the calculation gives -0.6382 eV/atom. The calculation puts the density of states at the Fermi level at 3.60 states/eV/cell. Its total magnetization is 0.43 μB/cell.

a b c (Å): 6.601 6.601 5.229
angles (deg): 90.00 90.00 90.00
Last column: magnetic moment on the atom in μB.
Fractional coordinates of all 5 atoms:
Ba 0.500 0.000 0.000  0.00
Ba 0.000 0.500 0.000  0.00
As 0.500 0.500 0.500  0.16
Cl 0.000 0.000 0.500  0.00
Te 0.000 0.000 0.000  0.00

***

2.
# Ba4TeAsCl2

An optimized crystal structure of Ba4TeAsCl2 (PBE-GGA, Alexandria).

Values from the calculation:
For the uncorrected formation energy, the calculation gives -1.7496 eV/atom. The calculation puts the density of states at the Fermi level at 3.23 states/eV/cell. Its total magnetization is 0.00 μB/cell.

a b c (Å): 4.801 8.046 8.391
angles (deg): 69.93 90.00 90.00
Fractional coordinates of all 8 atoms:
Ba 0.500 0.261 0.733
Ba 0.000 0.255 0.264
Cl 0.000 0.000 0.000
Ba 0.500 0.739 0.267
Ba 0.000 0.745 0.736
As 0.000 0.500 0.500
Te 0.500 0.500 0.000
Cl 0.500 0.000 0.500

***

3.
# BaTlAsCl6

An optimized crystal structure of BaTlAsCl6 (PBE-GGA, Alexandria).

Values from the calculation:
For the uncorrected formation energy, the calculation gives -1.3357 eV/atom. The calculation puts the density of states at the Fermi level at 0.00 states/eV/cell. Its total magnetization is 0.00 μB/cell.

a b c (Å): 7.397 7.398 6.742
angles (deg): 90.01 90.00 60.00
Fractional coordinates of all 9 atoms:
As 0.333 0.333 0.500
Ba 0.667 0.667 0.500
Tl 0.000 0.000 0.000
Cl 0.056 0.333 0.280
Cl 0.612 0.333 0.720
Cl 0.333 0.056 0.720
Cl 0.333 0.612 0.280
Cl 0.612 0.056 0.280
Cl 0.056 0.612 0.720

***

4.
# Ba2CoAs2

An optimized crystal structure of Ba2CoAs2 (PBE-GGA, Alexandria).

Values from the calculation:
The calculation puts the density of states at the Fermi level at 3.66 states/eV/cell. Its total magnetization is 2.56 μB/cell. As for the formation energy from the elements: -1.8 eV/f.u.

a b c (Å): 6.913 6.913 6.913
angles (deg): 123.67 123.67 83.74
Last column: magnetic moment on the atom in μB.
Fractional coordinates of all 5 atoms:
Ba 0.250 0.750 0.500  0.04
As 0.219 0.219 0.000  0.08
As 0.781 0.781 0.000  0.08
Ba 0.750 0.250 0.500  0.04
Co 0.000 0.000 0.000  2.01

***

5.
# BaCo3As

An optimized crystal structure of BaCo3As (PBE-GGA, Alexandria).

Values from the calculation:
The calculation puts the density of states at the Fermi level at 5.63 states/eV/cell. Its energy relative to the lowest polymorph listed for this composition is 1.873 eV per atom. Its total magnetization is 4.00 μB/cell. As for the formation energy from the elements: 11.0 eV/f.u.

a b c (Å): 4.851 4.851 4.851
angles (deg): 90.00 90.00 90.00
Last column: magnetic moment on the atom in μB.
Fractional coordinates of all 5 atoms:
As 0.500 0.500 0.500  0.17
Ba 0.000 0.000 0.000  -0.18
Co 0.000 0.000 0.500  1.26
Co 0.500 0.000 0.000  1.28
Co 0.000 0.500 0.000  1.41

***

6.
# BaCo2As2

An optimized crystal structure of BaCo2As2 (PBE-GGA, Alexandria).

Values from the calculation:
The calculation puts the density of states at the Fermi level at 11.97 states/eV/cell. Its total magnetization is 2.42 μB/cell. As for the formation energy from the elements: -1.7 eV/f.u.

a b c (Å): 4.265 4.265 10.800
angles (deg): 101.38 101.38 90.01
Last column: magnetic moment on the atom in μB.
Fractional coordinates of all 10 atoms:
As 0.750 0.250 0.500  0.01
Ba 0.626 0.626 0.251  -0.01
As 0.067 0.067 0.135  0.00
Co 0.000 0.500 0.000  1.27
Co 0.803 0.803 0.606  -0.01
Co 0.500 0.000 0.000  1.27
As 0.933 0.933 0.865  0.00
Co 0.197 0.197 0.394  -0.01
Ba 0.374 0.374 0.749  -0.01
As 0.250 0.750 0.500  0.01

***

7.
# Ba2CoAs

An optimized crystal structure of Ba2CoAs (PBE-GGA, Alexandria).

Values from the calculation:
The calculation puts the density of states at the Fermi level at 7.07 states/eV/cell. Its total magnetization is 0.39 μB/cell. As for the formation energy from the elements: 1.0 eV/f.u.

a b c (Å): 5.351 5.351 5.351
angles (deg): 60.00 60.00 60.00
Last column: magnetic moment on the atom in μB.
Fractional coordinates of all 4 atoms:
Co 0.750 0.750 0.750  0.89
Ba 0.000 0.000 0.000  -0.13
As 0.500 0.500 0.500  0.00
Ba 0.250 0.250 0.250  -0.09

***

8.
# BaCo2As2

An optimized crystal structure of BaCo2As2 (PBE-GGA, Alexandria).

Values from the calculation:
The calculation puts the density of states at the Fermi level at 3.35 states/eV/cell. Its total magnetization is 1.00 μB/cell. As for the formation energy from the elements: -3.1 eV/f.u.

a b c (Å): 3.981 3.981 6.913
angles (deg): 106.74 106.74 89.99
Last column: magnetic moment on the atom in μB.
Fractional coordinates of all 5 atoms:
Ba 0.000 0.000 0.000  0.02
As 0.654 0.654 0.307  -0.01
As 0.346 0.346 0.693  -0.01
Co 0.250 0.750 0.500  0.48
Co 0.750 0.250 0.500  0.48

***

Please write out number 8 again, unchanged.
# BaCo2As2

An optimized crystal structure of BaCo2As2 (PBE-GGA, Alexandria).

Values from the calculation:
The calculation puts the density of states at the Fermi level at 3.35 states/eV/cell. Its total magnetization is 1.00 μB/cell. As for the formation energy from the elements: -3.1 eV/f.u.

a b c (Å): 3.981 3.981 6.913
angles (deg): 106.74 106.74 89.99
Last column: magnetic moment on the atom in μB.
Fractional coordinates of all 5 atoms:
Ba 0.000 0.000 0.000  0.02
As 0.654 0.654 0.307  -0.01
As 0.346 0.346 0.693  -0.01
Co 0.250 0.750 0.500  0.48
Co 0.750 0.250 0.500  0.48